[1]
DFT (PBE) results for crystalline Pr8Sm6Cd at its relaxed geometry.

Values from the calculation:
Raw total energy in eV per formula unit: -66.24
Energy of formation in eV per atom: 0.08
Spin magnetization in μB/cell: 0.000

Cell: 9.5533 9.5533 6.5953 Å, 90.00 90.00 120.00°
Closest atoms and distances in Å follow each position.
Space group P-3 (No. 147)
Asymmetric unit:
Pr: 0.0415 0.7717 0.1832  1 Cd 3.19, 3 Pr 3.41, 2 Sm 3.42-3.55
Pr: 0.3333 0.6667 0.1427  3 Pr 3.41, 3 Sm 3.81
Sm: 0.0948 0.6460 0.6703  1 Sm 3.32, 5 Pr 3.42-3.71
Cd: 0.0000 0.0000 0.5000  6 Pr 3.19

[2]
DFT (PBE) results for crystalline Na2Li2Pb at its relaxed geometry.

Values from the calculation:
Raw total energy in eV per formula unit: -10.57
Energy of formation in eV per atom: -0.08
Spin magnetization in μB/cell: 0.000
Distance to the lowest polymorph of the same formula in meV per atom: 21

Cell: 7.4070 7.4070 4.8097 Å, 90.00 90.00 90.00°
Closest atoms and distances in Å follow each position.
Space group P4/mbm (No. 127)
Asymmetric unit:
Na: 0.1782 0.3218 0.0000  2 Li 3.02
Li: 0.1481 0.6481 0.5000  2 Pb 2.83, 2 Na 3.02, 1 Li 3.10
Pb: 0.0000 0.0000 0.5000  4 Li 2.83

[3]
DFT (PBE) results for crystalline TaPNO2 at its relaxed geometry.

Values from the calculation:
Raw total energy in eV per formula unit: -35.91
Formation energy from raw total energies in eV per atom: -0.0815
Spin magnetization in μB/cell: 1.666

Cell: 3.5347 3.5347 3.9332 Å, 90.00 90.00 90.00°
Closest atoms and distances in Å follow each position.
Space group P4/mmm (No. 123)
Asymmetric unit:
Ta: 0.0000 0.0000 0.0000  4 N 2.50, 8 O 2.64
P: 0.5000 0.5000 0.5000  4 O 1.77, 2 N 1.97
N: 0.5000 0.5000 0.0000  2 P 1.97
O: 0.0000 0.5000 0.5000  2 P 1.77

[4]
DFT (PBE) results for crystalline Rb3IrOs at its relaxed geometry.

Values from the calculation:
Raw total energy in eV per formula unit: -13.41
Energy of formation in eV per atom: 1.92
Spin magnetization in μB/cell: 2.000

Cell: 6.2648 6.2648 6.2648 Å, 90.00 90.00 90.00°
Closest atoms and distances in Å follow each position.
Space group Pm-3m (No. 221)
Asymmetric unit:
Rb: 0.0000 0.0000 0.5000  2 Ir 3.13
Ir: 0.0000 0.0000 0.0000  6 Rb 3.13
Os: 0.5000 0.5000 0.5000  12 Rb 4.43

Which of these has the lowest raw total energy?
Pr8Sm6Cd